# PdWO3

An optimized crystal structure of PdWO3 (GGA+U, Alexandria).

Cell: 10.1082 3.7689 6.9170 Å, 90.00 110.26 90.00°
Space group C2/m (No. 12)
Unique sites:
1 Pd 0.0923 0.0000 0.4067 [4 per cell]
2 W 0.1042 0.5000 0.8606 [4 per cell]
3 O 0.0907 0.5000 0.1745 [4 per cell]
4 O 0.1491 0.5000 0.6262 [4 per cell]
5 O 0.1712 0.0000 0.9469 [4 per cell]

Output
As for the crystal system: monoclinic. As for the uncorrected energy: -6.5533 eV per atom.

***

# PdWO3

An optimized crystal structure of PdWO3 (GGA+U, Alexandria).

Cell: 3.9176 3.9176 3.9176 Å, 90.00 90.00 90.00°
Space group Pm-3m (No. 221)
Unique sites:
1 Pd 0.0000 0.0000 0.0000 [1 per cell]
2 W 0.5000 0.5000 0.5000 [1 per cell]
3 O 0.0000 0.5000 0.5000 [3 per cell]

Output
As for the crystal system: cubic. As for the uncorrected energy: -6.4716 eV per atom.

***

# PdW2O

An optimized crystal structure of PdW2O (GGA+U, Alexandria).

Cell: 6.3869 6.3869 6.7494 Å, 90.00 90.00 90.00°
Space group I-42d (No. 122)
Unique sites:
1 Pd 0.0000 0.0000 0.0000 [4 per cell]
2 W 0.1738 0.2500 0.6250 [8 per cell]
3 O 0.0000 0.0000 0.5000 [4 per cell]

Output
As for the crystal system: tetragonal. As for the uncorrected energy: -5.8879 eV per atom.

***

# ZnPdW2O

An optimized crystal structure of ZnPdW2O (GGA+U, Alexandria).

Cell: 5.2679 5.2679 3.9485 Å, 90.00 90.00 90.00°
Space group P4/mmm (No. 123)
Unique sites:
1 Zn 0.0000 0.0000 0.0000 [1 per cell]
2 Pd 0.5000 0.5000 0.5000 [1 per cell]
3 W 0.0000 0.5000 0.5000 [2 per cell]
4 O 0.5000 0.5000 0.0000 [1 per cell]

Output
As for the crystal system: tetragonal. As for the uncorrected energy: -3.7938 eV per atom.

***

What did we get for DOS(E_F)? Answer: 0.778, 8.778, 1.893, 2.808 states/eV/f.u., in the order shown.